Record 1
! InBr3 GGA-PBE relaxed; values from VASP
&SYSTEM
  ibrav = 0, nat = 4, ntyp = 2
/
ATOMIC_SPECIES
In 114.82 In.upf
Br 79.90 Br.upf
CELL_PARAMETERS angstrom
-1.8158 5.9442 3.6203
1.8158 -5.9442 3.6203
1.8158 5.9442 -3.6203
ATOMIC_POSITIONS angstrom
In 0.0000 0.0000 0.0000
Br 1.8158 1.7936 -1.0345
Br 1.8158 0.0000 2.0708
Br 0.0000 4.1506 2.5858
! formation energy (no corrections)	-0.697	eV/atom
! total energy	-2.64	eV/atom
! V	39.07	Å³ per atom

=====

Record 2
! InBr3 GGA-PBE relaxed; values from VASP
&SYSTEM
  ibrav = 0, nat = 4, ntyp = 2
/
ATOMIC_SPECIES
In 114.82 In.upf
Br 79.90 Br.upf
CELL_PARAMETERS angstrom
3.5808 0.0000 0.0000
0.0000 3.5808 0.0000
0.0000 0.0000 9.3010
ATOMIC_POSITIONS angstrom
In 0.0000 0.0000 0.0000
Br 0.0000 0.0000 4.6505
Br 1.7904 1.7904 1.7105
Br 1.7904 1.7904 7.5904
! formation energy (no corrections)	-0.171	eV/atom
! total energy	-2.11	eV/atom
! V	29.81	Å³ per atom

=====

Record 3
! In3Br GGA-PBE relaxed; values from VASP
&SYSTEM
  ibrav = 0, nat = 4, ntyp = 2
/
ATOMIC_SPECIES
In 114.82 In.upf
Br 79.90 Br.upf
CELL_PARAMETERS angstrom
3.7514 0.0000 0.0000
0.0000 3.7514 0.0000
0.0000 0.0000 8.1975
ATOMIC_POSITIONS angstrom
In 0.0000 0.0000 0.0000
In 1.8757 1.8757 1.9908
In 1.8757 1.8757 6.2067
Br 0.0000 0.0000 4.0988
! formation energy (no corrections)	-0.142	eV/atom
! total energy	-2.61	eV/atom
! V	28.84	Å³ per atom
! energy relative to the lowest polymorph listed for this composition	0.060	eV/atom

=====

Record 4
! InBr GGA-PBE relaxed; values from VASP
&SYSTEM
  ibrav = 0, nat = 2, ntyp = 2
/
ATOMIC_SPECIES
In 114.82 In.upf
Br 79.90 Br.upf
CELL_PARAMETERS angstrom
0.0000 3.7111 3.7111
3.7111 0.0000 3.7111
3.7111 3.7111 0.0000
ATOMIC_POSITIONS angstrom
In 0.0000 0.0000 0.0000
Br 1.8555 1.8555 1.8555
! formation energy (no corrections)	-0.569	eV/atom
! total energy	-2.77	eV/atom
! V	51.11	Å³ per atom

=====

Record 5
! In2Br GGA-PBE relaxed; values from VASP
&SYSTEM
  ibrav = 0, nat = 3, ntyp = 2
/
ATOMIC_SPECIES
In 114.82 In.upf
Br 79.90 Br.upf
CELL_PARAMETERS angstrom
-1.9968 1.9968 5.5670
1.9968 -1.9968 5.5670
1.9968 1.9968 -5.5670
ATOMIC_POSITIONS angstrom
In 0.0000 0.0000 2.0074
In 0.0000 0.0000 9.1266
Br 0.0000 0.0000 5.5670
! formation energy (no corrections)	-0.253	eV/atom
! total energy	-2.64	eV/atom
! V	29.60	Å³ per atom
! energy relative to the lowest polymorph listed for this composition	0.059	eV/atom

=====

Record 6
! InBr3 GGA-PBE relaxed; values from VASP
&SYSTEM
  ibrav = 0, nat = 4, ntyp = 2
/
ATOMIC_SPECIES
In 114.82 In.upf
Br 79.90 Br.upf
CELL_PARAMETERS angstrom
4.9194 0.0000 0.0000
0.0000 4.9194 0.0000
0.0000 0.0000 4.9194
ATOMIC_POSITIONS angstrom
In 0.0000 0.0000 0.0000
Br 0.0000 2.4597 2.4597
Br 2.4597 0.0000 2.4597
Br 2.4597 2.4597 0.0000
! formation energy (no corrections)	0.029	eV/atom
! total energy	-1.91	eV/atom
! V	29.76	Å³ per atom

=====

Calculated ρ in order - 3.77 4.94 6.11 3.16 5.79 4.94 Mg/m³